Record 1
Computed, not measured: Ca3CoSe4O12 after structural relaxation at the GGA-PBEsol level of DFT.

Calculated values
ΔE_f (raw) (eV/atom): -1.6102
Symmetry: No. 88

```
Ca3CoSe4O12
1.0
-6.9405 2.0564 2.1453
-2.7420 -2.3307 -6.6371
3.1300 -10.1419 6.5625
Ca Co Se O
6 2 8 24
Direct
0.9258 0.4258 0.8515
0.5000 0.5000 0.0000
0.3242 0.3242 0.6485
0.5742 0.0742 0.1485
0.6758 0.6758 0.3515
0.7500 0.2500 0.5000
0.2500 0.7500 0.5000
0.0000 0.0000 0.0000
0.6134 0.7675 0.8671
0.2325 0.7463 0.1329
0.0175 0.0037 0.3671
0.9004 0.3866 0.1329
0.3496 0.3634 0.3671
0.9963 0.6504 0.6329
0.2537 0.0996 0.8671
0.6366 0.9825 0.6329
0.9916 0.4727 0.6898
0.2371 0.9536 0.0975
0.4671 0.7416 0.1898
0.0549 0.1716 0.5006
0.3940 0.9871 0.5975
0.6982 0.2171 0.6898
0.4457 0.3290 0.5006
0.0129 0.7964 0.4025
0.7829 0.0084 0.3102
0.5790 0.8049 0.0006
0.4216 0.1957 0.0006
0.5518 0.5329 0.8102
0.8284 0.5543 0.4994
0.5273 0.3018 0.3102
0.2036 0.6104 0.5975
0.0464 0.1396 0.9025
0.6710 0.9451 0.4994
0.1951 0.5784 0.9994
0.3896 0.6060 0.4025
0.8604 0.1440 0.0975
0.2584 0.2773 0.8102
0.8560 0.7629 0.9025
0.8043 0.4210 0.9994
0.7227 0.4482 0.1898
```

=====

Record 2
Computed, not measured: CaCo2Si4O12 after structural relaxation at the GGA-PBEsol level of DFT.

Calculated values
ΔE_f (raw) (eV/atom): -2.2821
Symmetry: No. 5

```
CaCo2Si4O12
1.0
5.2340 0.0062 0.0059
1.4036 6.2892 -0.0169
1.4036 0.3124 6.2815
Ca Co Si O
1 2 4 12
Direct
0.5000 0.7000 0.3000
0.0000 0.9123 0.0877
0.5000 0.1071 0.8929
0.9695 0.8025 0.6182
0.0305 0.3818 0.1975
0.4711 0.6192 0.8025
0.5289 0.1975 0.3808
0.7398 0.6625 0.6302
0.2602 0.3698 0.3375
0.7473 0.3496 0.3592
0.2527 0.6408 0.6504
0.0606 0.8947 0.3751
0.9394 0.6249 0.1053
0.4739 0.0805 0.6110
0.5261 0.3890 0.9195
0.3710 0.8083 0.9758
0.6290 0.0242 0.1917
0.8836 0.9599 0.8215
0.1164 0.1785 0.0401
```

=====

Record 3
Computed, not measured: Ca2CoSi2O7 after structural relaxation at the GGA-PBEsol level of DFT.

Calculated values
ΔE_f (raw) (eV/atom): -2.5938
Symmetry: No. 113

```
Ca2CoSi2O7
1.0
4.9949 0.0000 0.0000
0.0000 7.7866 0.0000
0.0000 0.0000 7.7866
Ca Co Si O
4 2 4 14
Direct
0.4974 0.3319 0.1681
0.4974 0.6681 0.8319
0.5026 0.1681 0.6681
0.5026 0.8319 0.3319
0.0000 0.5000 0.5000
0.0000 0.0000 0.0000
0.9350 0.3582 0.8582
0.0650 0.8582 0.6418
0.0650 0.1418 0.3582
0.9350 0.6418 0.1418
0.1847 0.0000 0.5000
0.8153 0.5000 0.0000
0.2569 0.3580 0.8580
0.7431 0.8580 0.6420
0.7431 0.1420 0.3580
0.2569 0.6420 0.1420
0.7768 0.4173 0.6834
0.7768 0.5827 0.3166
0.2232 0.3166 0.4173
0.2232 0.6834 0.5827
0.7768 0.1834 0.9173
0.2232 0.9173 0.8166
0.2232 0.0827 0.1834
0.7768 0.8166 0.0827
```

=====

Record 4
Computed, not measured: CaCoSi2O6 after structural relaxation at the GGA-PBEsol level of DFT.

Calculated values
ΔE_f (raw) (eV/atom): -2.4631
Symmetry: No. 15

```
CaCoSi2O6
1.0
-4.2542 0.5616 -2.9146
-4.6649 -2.4041 4.0344
-2.2438 5.8650 2.0938
Ca Co Si O
2 2 4 12
Direct
0.2500 0.3005 0.6995
0.7500 0.6995 0.3005
0.7500 0.0832 0.9168
0.2500 0.9168 0.0832
0.7263 0.6160 0.8082
0.7737 0.1918 0.3840
0.2263 0.8082 0.6160
0.2737 0.3840 0.1918
0.4870 0.6263 0.6692
0.0130 0.3308 0.3737
0.5130 0.3737 0.3308
0.9870 0.6692 0.6263
0.8238 0.3827 0.8922
0.6762 0.1078 0.6173
0.1762 0.6173 0.1078
0.3238 0.8922 0.3827
0.1437 0.9738 0.7908
0.3563 0.2092 0.0262
0.6437 0.7908 0.9738
0.8563 0.0262 0.2092
```

=====

Record 5
Computed, not measured: Ca3Co2Si4O14 after structural relaxation at the GGA-PBEsol level of DFT.

Calculated values
ΔE_f (raw) (eV/atom): -2.5173
Symmetry: No. 15

```
Ca3Co2Si4O14
1.0
-3.7215 6.4260 1.4514
-4.1319 0.2095 8.2004
4.2108 5.3617 6.7806
Ca Co Si O
6 4 8 28
Direct
0.7733 0.9363 0.4577
0.1672 0.5637 0.0423
0.8328 0.4363 0.9577
0.3480 0.2500 0.7500
0.2267 0.0637 0.5423
0.6520 0.7500 0.2500
0.7937 0.2500 0.7500
0.2063 0.7500 0.2500
0.0000 0.0000 0.0000
0.0000 0.5000 0.5000
0.8810 0.3046 0.3452
0.4691 0.8046 0.8452
0.7948 0.8966 0.8545
0.4542 0.3966 0.3545
0.5309 0.1954 0.1548
0.2052 0.1034 0.1455
0.5458 0.6034 0.6455
0.1190 0.6954 0.6548
0.7184 0.6759 0.4929
0.1024 0.5867 0.2883
0.3489 0.9111 0.1880
0.0226 0.0867 0.7883
0.0586 0.6903 0.5137
0.4813 0.3782 0.1815
0.5519 0.4111 0.6880
0.2626 0.8097 0.9863
0.5187 0.6218 0.8185
0.3356 0.7397 0.5897
0.8976 0.4133 0.7117
0.9414 0.3097 0.4863
0.0409 0.1218 0.3185
0.1128 0.1759 0.9929
0.3351 0.2397 0.0897
0.7374 0.1903 0.0137
0.5278 0.0386 0.3216
0.6644 0.2603 0.4103
0.8880 0.4614 0.1784
0.6649 0.7603 0.9103
0.9591 0.8782 0.6815
0.9774 0.9133 0.2117
0.1120 0.5386 0.8216
0.6511 0.0889 0.8120
0.4722 0.9614 0.6784
0.4481 0.5889 0.3120
0.8872 0.8241 0.0071
0.2816 0.3241 0.5071
```

=====

Record 6
Computed, not measured: Ca8Zn3CoSi8O28 after structural relaxation at the GGA-PBEsol level of DFT.

Calculated values
ΔE_f (raw) (eV/atom): -2.7282
Symmetry: No. 81

```
Ca8Zn3CoSi8O28
1.0
-4.6866 1.5460 -0.7494
1.4449 -0.9064 -10.9058
-3.5138 -10.4564 0.4035
Ca Zn Co Si O
8 3 1 8 28
Direct
0.5034 0.2454 0.0820
0.5041 0.7447 0.5820
0.4959 0.4180 0.7447
0.4966 0.9180 0.2454
0.5034 0.7546 0.9180
0.5041 0.2553 0.4180
0.4959 0.5820 0.2553
0.4966 0.0820 0.7546
0.0004 0.5000 0.0000
0.9996 0.0000 0.5000
0.0000 0.0000 0.0000
0.0000 0.5000 0.5000
0.9348 0.2485 0.8914
0.9351 0.7479 0.3916
0.0649 0.6084 0.7479
0.0652 0.1086 0.2485
0.9348 0.7515 0.1086
0.9351 0.2521 0.6084
0.0649 0.3916 0.2521
0.0652 0.8914 0.7515
0.1851 0.2501 0.2505
0.1851 0.7499 0.7495
0.8149 0.2505 0.7499
0.8149 0.7495 0.2501
0.7810 0.3639 0.9530
0.7813 0.8636 0.4527
0.2260 0.5534 0.6304
0.2258 0.0539 0.1309
0.7810 0.6361 0.0470
0.7813 0.1364 0.5473
0.2260 0.4466 0.3696
0.2258 0.9461 0.8691
0.2187 0.4527 0.1364
0.2190 0.9530 0.6361
0.7742 0.8691 0.0539
0.7740 0.3696 0.5534
0.2187 0.5473 0.8636
0.2190 0.0470 0.3639
0.7742 0.1309 0.9461
0.7740 0.6304 0.4466
0.2570 0.2458 0.8915
0.2573 0.7452 0.3916
0.7427 0.6084 0.7452
0.7430 0.1085 0.2458
0.2570 0.7542 0.1085
0.2573 0.2548 0.6084
0.7427 0.3916 0.2548
0.7430 0.8915 0.7542
```